DFT (PBE) results for an optimized crystal structure of MoSe2I.

Geometry as POSCAR:
```
MoSe2I
1.0
6.0797 0.0000 0.0000
0.0000 3.2327 0.0000
-1.8836 0.0000 12.3429
Mo Se I
2 4 2
direct
0.1924 0.0000 0.0059
0.8076 0.5000 0.9941
0.1293 0.5000 0.1522
0.3930 0.5000 0.8861
0.6070 0.0000 0.1139
0.8707 0.0000 0.8478
0.2509 0.4780 0.5032
0.7491 0.9780 0.4968
```

Computed properties:
**Electronic total energy**: -5.195 eV per atom
**Formation energy (no corrections)**: -0.358 eV/atom
**D(E_F)**: 1.2 states/eV/f.u.
**Total moment**: 0.0 μB per formula unit
**Excess energy over the best structure of this formula in the dataset**: 0.0 meV per atom